! CsAg2AsCl6 (PBE-GGA, optimized geometry); values from VASP
&SYSTEM
  ibrav = 0, nat = 10, ntyp = 4
/
ATOMIC_SPECIES
Cl 35.45 Cl.upf
As 74.92 As.upf
Ag 107.87 Ag.upf
Cs 132.91 Cs.upf
CELL_PARAMETERS angstrom
-5.0799 0.8674 4.8628
0.7141 -2.8218 6.4152
1.9992 5.8775 6.3264
ATOMIC_POSITIONS crystal
Cl 0.2486 0.9533 0.2223
As 0.3294 0.3296 0.0099
Ag 0.9862 0.9831 0.0435
Cl 0.6817 0.1282 0.8397
Cl 0.1218 0.3521 0.8459
Ag 0.6021 0.5955 0.2039
Cl 0.9539 0.5728 0.2280
Cs 0.8133 0.8144 0.5587
Cl 0.5802 0.2428 0.2202
Cl 0.3444 0.6898 0.8430
! * symmetry: P1, No. 1

***

! Cs2AgAsCl6 (PBE-GGA, optimized geometry); values from VASP
&SYSTEM
  ibrav = 0, nat = 10, ntyp = 4
/
ATOMIC_SPECIES
Ag 107.87 Ag.upf
Cs 132.91 Cs.upf
Cl 35.45 Cl.upf
As 74.92 As.upf
CELL_PARAMETERS angstrom
7.4759 0.0000 0.0000
3.7380 6.4743 0.0000
3.7380 2.1581 6.1040
ATOMIC_POSITIONS crystal
Ag 0.5000 0.5000 0.5000
Cs 0.2500 0.2500 0.2500
Cl 0.2395 0.2395 0.7605
Cs 0.7500 0.7500 0.7500
As 0.0000 0.0000 0.0000
Cl 0.7605 0.2395 0.7605
Cl 0.2395 0.7605 0.7605
Cl 0.2395 0.7605 0.2395
Cl 0.7605 0.2395 0.2395
Cl 0.7605 0.7605 0.2395
! * symmetry: Fm-3m, No. 225

***

! CsAgAsCl6 (PBE-GGA, optimized geometry); values from VASP
&SYSTEM
  ibrav = 0, nat = 9, ntyp = 4
/
ATOMIC_SPECIES
Cl 35.45 Cl.upf
Ag 107.87 Ag.upf
Cs 132.91 Cs.upf
As 74.92 As.upf
CELL_PARAMETERS angstrom
-6.3467 1.8273 -3.9695
0.9913 -5.3655 -4.0549
-3.7221 -0.6519 5.6511
ATOMIC_POSITIONS crystal
Cl 0.6914 0.7204 0.6786
Cl 0.3086 0.7204 0.0419
Cl 0.6914 0.9581 0.2796
Ag 0.5000 0.6667 0.3333
Cs 0.0000 0.3333 0.6667
Cl 0.3086 0.3214 0.2796
Cl 0.3086 0.9581 0.6786
Cl 0.6914 0.3214 0.0419
As 0.5000 0.0000 0.0000
! * symmetry: P312, No. 149

***

! CuAg7As4ClO14 (PBE-GGA, optimized geometry); values from VASP
&SYSTEM
  ibrav = 0, nat = 54, ntyp = 5
/
ATOMIC_SPECIES
O 16.00 O.upf
Cl 35.45 Cl.upf
Ag 107.87 Ag.upf
Cu 63.55 Cu.upf
As 74.92 As.upf
CELL_PARAMETERS angstrom
-2.1723 -6.0658 2.7797
6.3039 -2.9470 0.9034
1.4071 5.5817 15.6348
ATOMIC_POSITIONS crystal
O 0.2211 0.2905 0.2295
Cl 0.8257 0.7520 0.1122
O 0.2905 0.2211 0.7295
O 0.2673 0.9802 0.3728
O 0.5747 0.7620 0.2805
O 0.2425 0.9575 0.6117
Ag 0.0506 0.9260 0.4987
O 0.4307 0.5406 0.0778
Ag 0.1531 0.6120 0.1764
Cu 0.2912 0.2799 0.3414
As 0.1573 0.8102 0.8418
Ag 0.4794 0.6517 0.6875
Ag 0.6120 0.1531 0.6764
Ag 0.0054 0.5183 0.0134
Ag 0.8847 0.6633 0.3267
Ag 0.6517 0.4794 0.1875
O 0.5771 0.1486 0.0347
O 0.4873 0.6604 0.4418
As 0.7588 0.3832 0.8479
Cl 0.7520 0.8257 0.6122
Ag 0.3416 0.9002 0.0172
O 0.6064 0.2535 0.2931
As 0.1285 0.1008 0.6841
O 0.1486 0.5771 0.5347
Ag 0.5819 0.0474 0.1776
O 0.6604 0.4873 0.9418
O 0.9508 0.0275 0.2616
Cu 0.2799 0.2912 0.8414
Ag 0.0474 0.5819 0.6776
O 0.2535 0.6064 0.7931
O 0.7875 0.9713 0.4108
O 0.9337 0.2569 0.6535
O 0.3762 0.2820 0.4493
O 0.9314 0.3288 0.3786
O 0.5943 0.2302 0.8274
O 0.0275 0.9508 0.7616
As 0.4832 0.3775 0.0051
Ag 0.9260 0.0506 0.9987
O 0.2569 0.9337 0.1535
O 0.9575 0.2425 0.1117
As 0.3775 0.4832 0.5051
O 0.9802 0.2673 0.8728
O 0.7620 0.5747 0.7805
Ag 0.5183 0.0054 0.5134
Ag 0.6633 0.8847 0.8267
O 0.5406 0.4307 0.5778
As 0.8102 0.1573 0.3418
O 0.3288 0.9314 0.8786
O 0.2302 0.5943 0.3274
As 0.1008 0.1285 0.1841
As 0.3832 0.7588 0.3479
O 0.2820 0.3762 0.9493
Ag 0.9002 0.3416 0.5172
O 0.9713 0.7875 0.9108
! * symmetry: Cc, No. 9

***

! AgAsClF6 (PBE-GGA, optimized geometry); values from VASP
&SYSTEM
  ibrav = 0, nat = 9, ntyp = 4
/
ATOMIC_SPECIES
F 19.00 F.upf
As 74.92 As.upf
Cl 35.45 Cl.upf
Ag 107.87 Ag.upf
CELL_PARAMETERS angstrom
5.7670 1.2446 -0.1360
3.7579 6.1723 -0.4590
-0.1731 -0.3252 5.2420
ATOMIC_POSITIONS crystal
F 0.6446 0.2735 0.6342
As 0.3190 0.3459 0.4762
F 0.5223 0.1932 0.1826
F 0.4380 0.0585 0.5516
F 0.0899 0.5066 0.7697
F 0.1917 0.6405 0.4133
Cl 0.2513 0.8810 0.0051
Ag 0.5734 0.6638 0.6376
F 0.9696 0.4370 0.3295
! * symmetry: P1, No. 1

***

! AgAs2HCl (PBE-GGA, optimized geometry); values from VASP
&SYSTEM
  ibrav = 0, nat = 5, ntyp = 4
/
ATOMIC_SPECIES
Ag 107.87 Ag.upf
Cl 35.45 Cl.upf
As 74.92 As.upf
H 1.01 H.upf
CELL_PARAMETERS angstrom
-1.1372 -0.4844 3.6355
0.4800 -7.1875 -0.8074
3.6588 0.1141 1.1597
ATOMIC_POSITIONS crystal
Ag 0.5000 0.5000 0.5000
Cl 0.0000 0.5000 0.0000
As 0.0000 0.0000 0.5000
H 0.0000 0.0000 0.0000
As 0.5000 0.0000 0.0000
! * symmetry: P4/mmm, No. 123

***

! AgAsICl2 (PBE-GGA, optimized geometry); values from VASP
&SYSTEM
  ibrav = 0, nat = 5, ntyp = 4
/
ATOMIC_SPECIES
Cl 35.45 Cl.upf
As 74.92 As.upf
I 126.90 I.upf
Ag 107.87 Ag.upf
CELL_PARAMETERS angstrom
-1.6844 4.5917 0.9936
-2.4598 0.2439 -5.2970
-4.2024 -1.9445 1.8620
ATOMIC_POSITIONS crystal
Cl 0.5000 0.0000 0.0000
As 0.0000 0.0000 0.0000
Cl 0.0000 0.0000 0.5000
I 0.0000 0.5000 0.0000
Ag 0.5000 0.5000 0.5000
! * symmetry: P4/mmm, No. 123

***

! LiAg2AsCl6 (PBE-GGA, optimized geometry); values from VASP
&SYSTEM
  ibrav = 0, nat = 10, ntyp = 4
/
ATOMIC_SPECIES
Cl 35.45 Cl.upf
Li 6.94 Li.upf
Ag 107.87 Ag.upf
As 74.92 As.upf
CELL_PARAMETERS angstrom
-2.2387 4.9647 4.6929
-5.1868 -1.0726 4.5971
1.5211 -1.8237 7.6731
ATOMIC_POSITIONS crystal
Cl 0.0931 0.3996 0.2761
Cl 0.6599 0.1593 0.1756
Li 0.6575 0.7791 0.8453
Ag 0.0100 0.1681 0.7326
Cl 0.0310 0.4888 0.7724
Cl 0.4064 0.8670 0.1669
As 0.3760 0.2802 0.0421
Ag 0.3639 0.6097 0.5348
Cl 0.3749 0.7514 0.7860
Cl 0.6888 0.1584 0.6834
! * symmetry: P1, No. 1

***

! NaAg2AsCl6 (PBE-GGA, optimized geometry); values from VASP
&SYSTEM
  ibrav = 0, nat = 10, ntyp = 4
/
ATOMIC_SPECIES
Cl 35.45 Cl.upf
Na 22.99 Na.upf
Ag 107.87 Ag.upf
As 74.92 As.upf
CELL_PARAMETERS angstrom
6.9235 0.0090 0.0219
3.4696 5.9674 0.0084
3.4831 1.9898 6.2647
ATOMIC_POSITIONS crystal
Cl 0.6897 0.1113 0.7944
Cl 0.5763 0.2143 0.2625
Cl 0.4005 0.6928 0.7960
Na 0.8139 0.8158 0.5548
Cl 0.2163 0.9468 0.2657
Ag 0.5757 0.5725 0.2784
As 0.3280 0.3283 0.0135
Cl 0.9464 0.5704 0.2692
Cl 0.1099 0.4038 0.7986
Ag 0.0050 0.0055 0.9819
! * symmetry: P1, No. 1

***

! AgAsPCl2 (PBE-GGA, optimized geometry); values from VASP
&SYSTEM
  ibrav = 0, nat = 5, ntyp = 4
/
ATOMIC_SPECIES
Cl 35.45 Cl.upf
P 30.97 P.upf
Ag 107.87 Ag.upf
As 74.92 As.upf
CELL_PARAMETERS angstrom
4.9901 0.0000 0.0000
0.0000 4.9901 0.0000
0.0000 0.0000 4.9550
ATOMIC_POSITIONS crystal
Cl 0.5000 0.0000 0.0000
P 0.0000 0.0000 0.5000
Ag 0.5000 0.5000 0.5000
As 0.0000 0.0000 0.0000
Cl 0.0000 0.5000 0.0000
! * energy relative to the lowest polymorph listed for this composition: 0 meV per atom
! * symmetry: P4/mmm, No. 123

***

! AgAsPCl2 (PBE-GGA, optimized geometry); values from VASP
&SYSTEM
  ibrav = 0, nat = 5, ntyp = 4
/
ATOMIC_SPECIES
P 30.97 P.upf
Ag 107.87 Ag.upf
Cl 35.45 Cl.upf
As 74.92 As.upf
CELL_PARAMETERS angstrom
4.8192 0.0000 0.0000
0.0000 4.8192 0.0000
0.0000 0.0000 5.2274
ATOMIC_POSITIONS crystal
P 0.0000 0.0000 0.5000
Ag 0.0000 0.0000 0.0000
Cl 0.5000 0.0000 0.0000
Cl 0.0000 0.5000 0.0000
As 0.5000 0.5000 0.5000
! * energy relative to the lowest polymorph listed for this composition: 309 meV per atom
! * symmetry: P4/mmm, No. 123

***

! AgAsPdCl2 (PBE-GGA, optimized geometry); values from VASP
&SYSTEM
  ibrav = 0, nat = 5, ntyp = 4
/
ATOMIC_SPECIES
As 74.92 As.upf
Ag 107.87 Ag.upf
Cl 35.45 Cl.upf
Pd 106.42 Pd.upf
CELL_PARAMETERS angstrom
4.7651 0.0000 0.0000
0.0000 5.5388 0.0000
0.0000 0.0000 4.7651
ATOMIC_POSITIONS crystal
As 0.5000 0.5000 0.5000
Ag 0.0000 0.0000 0.0000
Cl 0.0000 0.0000 0.5000
Pd 0.0000 0.5000 0.0000
Cl 0.5000 0.0000 0.0000
! * symmetry: P4/mmm, No. 123

***

Number 1: total magnetic moment 0.00 μB/f.u., energy -30.80 eV/cell. Number 2: total magnetic moment 0.00 μB/f.u., energy -32.34 eV/cell. Number 3: total magnetic moment 1.15 μB/f.u., energy -26.94 eV/cell. Number 4: total magnetic moment 1.02 μB/f.u., energy -266.45 eV/cell. Number 5: total magnetic moment 1.02 μB/f.u., energy -34.81 eV/cell. Number 6: total magnetic moment 0.00 μB/f.u., energy -15.50 eV/cell. Number 7: total magnetic moment 0.00 μB/f.u., energy -13.08 eV/cell. Number 8: total magnetic moment 0.00 μB/f.u., energy -31.27 eV/cell. Number 9: total magnetic moment 0.00 μB/f.u., energy -30.56 eV/cell. Number 10: total magnetic moment 0.73 μB/f.u., energy -14.82 eV/cell. Number 11: total magnetic moment 0.29 μB/f.u., energy -13.27 eV/cell. Number 12: total magnetic moment 1.81 μB/f.u., energy -13.30 eV/cell.